[1]
The following is a GGA-PBE calculation of a relaxed La12PmEr7 crystal, from Alexandria.

Cell: 8.854 8.854 8.854 Å, 89.50 89.50 89.50°
Element x y z (fractional)
La: 0.018 0.356 0.890
La: 0.110 0.982 0.644
La: 0.217 0.767 0.354
La: 0.233 0.646 0.783
La: 0.354 0.217 0.767
La: 0.356 0.890 0.018
La: 0.644 0.110 0.982
La: 0.646 0.783 0.233
La: 0.767 0.354 0.217
La: 0.783 0.233 0.646
La: 0.890 0.018 0.356
La: 0.982 0.644 0.110
Pm: 0.500 0.500 0.500
Er: 0.000 0.000 0.000
Er: 0.124 0.358 0.440
Er: 0.358 0.440 0.124
Er: 0.440 0.124 0.358
Er: 0.560 0.876 0.642
Er: 0.642 0.560 0.876
Er: 0.876 0.642 0.560

* total DFT energy (no corrections): -0.33793 Ry per atom
* offset from the most stable computed form: 0 meV/atom
* crystal system: trigonal
* energy relative to the elements: 0.193 eV per atom
* spin magnetization: 0.01 Bohr magnetons per cell
* volume: 34.7 A^3/atom

[2]
The following is a GGA-PBE calculation of a relaxed La3Pm3Er2 crystal, from Alexandria.

Cell: 10.911 10.911 10.911 Å, 152.63 152.49 39.20°
Element x y z (fractional)
La: 0.000 0.000 0.000
La: 0.373 0.873 0.500
La: 0.627 0.127 0.500
Pm: 0.129 0.629 0.500
Pm: 0.500 0.500 0.000
Pm: 0.871 0.371 0.500
Er: 0.249 0.249 0.000
Er: 0.751 0.751 0.000

* total DFT energy (no corrections): -0.34879 Ry per atom
* crystal system: orthorhombic
* energy relative to the elements: 0.025 eV per atom
* spin magnetization: 0.01 Bohr magnetons per cell
* volume: 34.4 A^3/atom

[3]
The following is a GGA-PBE calculation of a relaxed LaPm2Er5 crystal, from Alexandria.

Cell: 8.791 8.791 8.791 Å, 156.65 101.19 83.56°
Element x y z (fractional)
La: 0.000 0.000 0.000
Pm: 0.243 0.743 0.500
Pm: 0.757 0.257 0.500
Er: 0.139 0.367 0.772
Er: 0.404 0.633 0.772
Er: 0.500 0.000 0.500
Er: 0.596 0.367 0.228
Er: 0.861 0.633 0.228

* total DFT energy (no corrections): -0.33980 Ry per atom
* offset from the most stable computed form: 8 meV/atom
* crystal system: orthorhombic
* energy relative to the elements: 0.032 eV per atom
* spin magnetization: 0.00 Bohr magnetons per cell
* volume: 32.5 A^3/atom

[4]
The following is a GGA-PBE calculation of a relaxed La5Pm3Er crystal, from Alexandria.

Cell: 10.104 10.104 10.104 Å, 126.54 126.54 79.01°
Element x y z (fractional)
La: 0.000 0.000 0.000
La: 0.070 0.570 0.920
La: 0.149 0.070 0.500
La: 0.351 0.851 0.920
La: 0.430 0.351 0.500
La: 0.500 0.500 0.000
La: 0.570 0.649 0.500
La: 0.649 0.149 0.080
La: 0.851 0.930 0.500
La: 0.930 0.430 0.080
Pm: 0.115 0.385 0.500
Pm: 0.250 0.250 0.000
Pm: 0.385 0.885 0.270
Pm: 0.615 0.115 0.730
Pm: 0.750 0.750 0.000
Pm: 0.885 0.615 0.500
Er: 0.250 0.750 0.500
Er: 0.750 0.250 0.500

* total DFT energy (no corrections): -0.33486 Ry per atom
* crystal system: tetragonal
* energy relative to the elements: 0.272 eV per atom
* spin magnetization: 0.00 Bohr magnetons per cell
* volume: 35.8 A^3/atom

[5]
The following is a GGA-PBE calculation of a relaxed La6PmEr8 crystal, from Alexandria.

Cell: 8.821 8.821 8.821 Å, 61.89 61.89 61.89°
Element x y z (fractional)
La: 0.034 0.591 0.734
La: 0.266 0.966 0.409
La: 0.409 0.266 0.966
La: 0.591 0.734 0.034
La: 0.734 0.034 0.591
La: 0.966 0.409 0.266
Pm: 0.500 0.500 0.500
Er: 0.077 0.077 0.077
Er: 0.202 0.614 0.266
Er: 0.266 0.202 0.614
Er: 0.386 0.734 0.798
Er: 0.614 0.266 0.202
Er: 0.734 0.798 0.386
Er: 0.798 0.386 0.734
Er: 0.923 0.923 0.923

* total DFT energy (no corrections): -0.33832 Ry per atom
* crystal system: trigonal
* energy relative to the elements: 0.118 eV per atom
* spin magnetization: 0.00 Bohr magnetons per cell
* volume: 33.7 A^3/atom

[6]
The following is a GGA-PBE calculation of a relaxed La7Pm4Er crystal, from Alexandria.

Cell: 6.450 7.411 9.214 Å, 90.08 103.44 90.01°
Element x y z (fractional)
La: 0.000 0.000 0.000
La: 0.220 0.499 0.668
La: 0.280 0.750 0.332
La: 0.500 0.252 0.001
La: 0.500 0.748 0.999
La: 0.720 0.250 0.668
La: 0.780 0.501 0.332
Pm: 0.223 0.000 0.668
Pm: 0.277 0.250 0.328
Pm: 0.723 0.750 0.672
Pm: 0.777 0.000 0.332
Er: 0.000 0.500 0.000

* total DFT energy (no corrections): -0.35427 Ry per atom
* offset from the most stable computed form: 0 meV/atom
* crystal system: triclinic
* energy relative to the elements: 0.018 eV per atom
* spin magnetization: 0.00 Bohr magnetons per cell
* volume: 35.7 A^3/atom

[7]
The following is a GGA-PBE calculation of a relaxed LaPm10Er6 crystal, from Alexandria.

Cell: 9.820 9.820 6.895 Å, 90.00 90.00 120.00°
Element x y z (fractional)
La: 0.000 0.000 0.000
Pm: 0.000 0.279 0.321
Pm: 0.000 0.721 0.679
Pm: 0.279 0.000 0.321
Pm: 0.279 0.279 0.679
Pm: 0.333 0.667 0.000
Pm: 0.333 0.667 0.500
Pm: 0.667 0.333 0.000
Pm: 0.667 0.333 0.500
Pm: 0.721 0.000 0.679
Pm: 0.721 0.721 0.321
Er: 0.000 0.371 0.811
Er: 0.000 0.629 0.189
Er: 0.371 0.000 0.811
Er: 0.371 0.371 0.189
Er: 0.629 0.000 0.189
Er: 0.629 0.629 0.811

* total DFT energy (no corrections): -0.33517 Ry per atom
* crystal system: trigonal
* energy relative to the elements: 0.134 eV per atom
* spin magnetization: 0.00 Bohr magnetons per cell
* volume: 33.9 A^3/atom

[8]
The following is a GGA-PBE calculation of a relaxed La3PmEr5 crystal, from Alexandria.

Cell: 10.009 10.009 10.009 Å, 128.41 128.41 75.96°
Element x y z (fractional)
La: 0.117 0.617 0.735
La: 0.250 0.250 0.000
La: 0.383 0.117 0.500
La: 0.617 0.883 0.500
La: 0.750 0.750 0.000
La: 0.883 0.383 0.265
Pm: 0.250 0.750 0.500
Pm: 0.750 0.250 0.500
Er: 0.000 0.000 0.000
Er: 0.074 0.148 0.500
Er: 0.148 0.648 0.074
Er: 0.352 0.426 0.500
Er: 0.426 0.926 0.074
Er: 0.500 0.500 0.000
Er: 0.574 0.074 0.926
Er: 0.648 0.574 0.500
Er: 0.852 0.352 0.926
Er: 0.926 0.852 0.500

* total DFT energy (no corrections): -0.32820 Ry per atom
* crystal system: tetragonal
* energy relative to the elements: 0.240 eV per atom
* spin magnetization: 0.00 Bohr magnetons per cell
* volume: 33.3 A^3/atom

[9]
The following is a GGA-PBE calculation of a relaxed La7Pm3Er2 crystal, from Alexandria.

Cell: 6.573 3.593 17.969 Å, 90.00 95.84 90.00°
Element x y z (fractional)
La: 0.000 0.000 0.000
La: 0.221 0.500 0.172
La: 0.261 0.500 0.491
La: 0.273 0.000 0.831
La: 0.727 0.000 0.169
La: 0.739 0.500 0.509
La: 0.779 0.500 0.828
Pm: 0.455 0.000 0.337
Pm: 0.500 0.500 0.000
Pm: 0.545 0.000 0.663
Er: 0.058 0.500 0.669
Er: 0.942 0.500 0.331

* total DFT energy (no corrections): -0.34946 Ry per atom
* crystal system: monoclinic
* energy relative to the elements: 0.068 eV per atom
* spin magnetization: 0.00 Bohr magnetons per cell
* volume: 35.2 A^3/atom

[10]
The following is a GGA-PBE calculation of a relaxed La2Pm5Er4 crystal, from Alexandria.

Cell: 11.139 11.139 11.139 Å, 161.84 117.31 65.86°
Element x y z (fractional)
La: 0.202 0.202 0.000
La: 0.798 0.798 0.000
Pm: 0.000 0.500 0.500
Pm: 0.111 0.825 0.286
Pm: 0.462 0.175 0.286
Pm: 0.538 0.825 0.714
Pm: 0.889 0.175 0.714
Er: 0.277 0.000 0.277
Er: 0.412 0.412 0.000
Er: 0.588 0.588 0.000
Er: 0.723 0.000 0.723

* total DFT energy (no corrections): -0.33333 Ry per atom
* offset from the most stable computed form: 114 meV/atom
* crystal system: orthorhombic
* energy relative to the elements: 0.179 eV per atom
* spin magnetization: 0.00 Bohr magnetons per cell
* volume: 34.6 A^3/atom

[11]
The following is a GGA-PBE calculation of a relaxed La4Pm4Er crystal, from Alexandria.

Cell: 8.201 8.201 8.201 Å, 95.82 95.82 142.86°
Element x y z (fractional)
La: 0.166 0.166 0.333
La: 0.166 0.834 0.000
La: 0.834 0.166 0.000
La: 0.834 0.834 0.667
Pm: 0.167 0.500 0.667
Pm: 0.500 0.167 0.667
Pm: 0.500 0.833 0.333
Pm: 0.833 0.500 0.333
Er: 0.500 0.500 0.000

* total DFT energy (no corrections): -0.35202 Ry per atom
* crystal system: tetragonal
* energy relative to the elements: 0.019 eV per atom
* spin magnetization: 0.00 Bohr magnetons per cell
* volume: 35.1 A^3/atom

[12]
The following is a GGA-PBE calculation of a relaxed La2Pm5Er4 crystal, from Alexandria.

Cell: 9.089 9.089 11.742 Å, 93.99 93.99 22.57°
Element x y z (fractional)
La: 0.218 0.218 0.355
La: 0.782 0.782 0.645
Pm: 0.000 0.000 0.000
Pm: 0.324 0.324 0.932
Pm: 0.406 0.406 0.463
Pm: 0.594 0.594 0.537
Pm: 0.676 0.676 0.068
Er: 0.139 0.139 0.799
Er: 0.469 0.469 0.743
Er: 0.531 0.531 0.257
Er: 0.861 0.861 0.201

* total DFT energy (no corrections): -0.34168 Ry per atom
* offset from the most stable computed form: 0 meV/atom
* crystal system: monoclinic
* energy relative to the elements: 0.066 eV per atom
* spin magnetization: 0.00 Bohr magnetons per cell
* volume: 33.8 A^3/atom